Entry 1:
Entry from Alexandria: an optimized crystal structure of CaAcSiNi (PBE).

```
CaAcSiNi
1.0
3.5348 -2.0422 0.0000
3.5348 2.0422 0.0000
-2.3670 0.0000 7.8088
Ca Ac Si Ni
1 1 1 1
Cartesian
0.0000 0.0000 0.0000
0.0008 0.0000 4.0431
4.7129 0.0000 1.9287
2.3558 0.0000 1.9393
```

Summary:
**Calculated volume**: 28.2 Å³/atom
**Calculated total energy**: -0.352 Ry/atom
**Energy relative to the elements, uncorrected**: -462 meV per atom
**Excess energy over the best structure of this formula in the dataset**: 0.000 eV per atom

Entry 2:
Entry from Alexandria: an optimized crystal structure of CaLaAu2 (PBE).

```
CaLaAu2
1.0
-1.5630 3.2550 5.7395
1.5630 -3.2550 5.7395
1.5630 3.2550 -5.7395
Ca La Au
1 1 2
Cartesian
0.0000 0.0000 0.0000
0.0000 0.0000 5.7395
0.0000 0.0000 2.8328
0.0000 0.0000 8.6462
```

Summary:
**Calculated volume**: 29.2 Å³/atom
**Formation energy**: 270 meV per atom
**Calculated total energy**: -0.228 Ry/atom